# 1
Lu4GaGeN2: optimized geometry, PBE-GGA.

abc: 3.3998 3.3998 14.2499
angles: 90.00 90.00 120.00
Atoms (fractional coordinates):
Lu: 0.0000 0.0000 0.1561
Lu: 0.0000 0.0000 0.8439
Lu: 0.6667 0.3333 0.3392
Lu: 0.6667 0.3333 0.6608
Ga: 0.0000 0.0000 0.5000
Ge: 0.6667 0.3333 0.0000
N: 0.3333 0.6667 0.2464
N: 0.3333 0.6667 0.7536

Summary:
* uncorrected energy: -51.76 eV/cell

=====

# 2
Lu4GaNi2Ge4: optimized geometry, PBE-GGA.

abc: 7.8158 7.8158 6.8330
angles: 107.45 107.45 31.00
Atoms (fractional coordinates):
Lu: 0.0897 0.0897 0.3865
Lu: 0.1535 0.1535 0.9389
Lu: 0.8465 0.8465 0.0611
Lu: 0.9103 0.9103 0.6135
Ga: 0.5000 0.5000 0.0000
Ni: 0.2821 0.2821 0.3590
Ni: 0.7179 0.7179 0.6410
Ge: 0.2998 0.2998 0.7372
Ge: 0.4355 0.4355 0.3316
Ge: 0.5645 0.5645 0.6684
Ge: 0.7002 0.7002 0.2628

Summary:
* uncorrected energy: -59.11 eV/cell

=====

# 3
Mg4GaGePt2: optimized geometry, PBE-GGA.

abc: 8.5629 4.4081 4.4081
angles: 59.93 90.00 90.00
Atoms (fractional coordinates):
Mg: 0.1643 0.0000 0.0000
Mg: 0.3295 0.3324 0.3324
Mg: 0.6705 0.3324 0.3324
Mg: 0.8357 0.0000 0.0000
Ga: 0.0000 0.6670 0.6670
Ge: 0.5000 0.6652 0.6652
Pt: 0.0000 0.3338 0.3338
Pt: 0.5000 0.9983 0.9983

Summary:
* uncorrected energy: -31.02 eV/cell